First-principles (meta-GGA SCAN) data for a crystal of NaLi3Br relaxed with PBEsol, as listed in Alexandria via LeMat-Bulk.

Lattice parameters (Å, degrees): 5.1212 5.1212 5.1212 90.00 90.00 90.00
Last column: nearest neighbours and their distance in Å.
Space group Pm-3m (No. 221)
Asymmetric unit:
Na  0.0000  0.0000  0.0000 x1  12 Li 3.62
Li  0.0000  0.5000  0.5000 x3  2 Br 2.56
Br  0.5000  0.5000  0.5000 x1  6 Li 2.56

Values from the calculation:
As for the total energy: -6.590 eV/atom. The value obtained for the total magnetization is 0.001 μB/cell.